Compound: KZnN
Source: the Alexandria database
Functional: GGA-PBE
Structure: optimized geometry

Values from the calculation:
space-group type	R3m (160)
E_tot	-2.919	eV/atom
total moment	0.00	μB/atom
energy relative to the elements, uncorrected	0.646	eV per atom
volume	58.3	Å³/cell
DOS at the Fermi energy	0.7	states/eV/cell

```
data_KZnN
_space_group_name_H-M_alt 'P 1'
_space_group_IT_number 1
_cell_length_a 4.0541
_cell_length_b 4.0541
_cell_length_c 4.0541
_cell_angle_alpha 71.64
_cell_angle_beta 71.64
_cell_angle_gamma 71.64
loop_
_space_group_symop_operation_xyz
'x,y,z'
loop_
_atom_site_label
_atom_site_type_symbol
_atom_site_fract_x
_atom_site_fract_y
_atom_site_fract_z
Zn1 Zn 0.8700 0.8700 0.8700
K1 K 0.3774 0.3774 0.3774
N1 N 0.0827 0.0827 0.0827
```

Compound: KZnN
Source: the Alexandria database
Functional: GGA-PBE
Structure: optimized geometry

Values from the calculation:
space-group type	Pnma (62)
E_tot	-3.475	eV/atom
total moment	0.00	μB/atom
energy relative to the elements, uncorrected	0.091	eV per atom
volume	247.0	Å³/cell

```
data_KZnN
_space_group_name_H-M_alt 'P 1'
_space_group_IT_number 1
_cell_length_a 3.5553
_cell_length_b 6.6911
_cell_length_c 10.3834
_cell_angle_alpha 90.00
_cell_angle_beta 90.00
_cell_angle_gamma 90.00
loop_
_space_group_symop_operation_xyz
'x,y,z'
loop_
_atom_site_label
_atom_site_type_symbol
_atom_site_fract_x
_atom_site_fract_y
_atom_site_fract_z
Zn1 Zn 0.2500 0.6180 0.5483
Zn2 Zn 0.2500 0.8820 0.0483
Zn3 Zn 0.7500 0.3820 0.4517
Zn4 Zn 0.7500 0.1180 0.9517
K1 K 0.2500 0.0463 0.6604
K2 K 0.2500 0.4537 0.1604
K3 K 0.7500 0.9537 0.3396
K4 K 0.7500 0.5463 0.8396
N1 N 0.2500 0.2093 0.9243
N2 N 0.2500 0.2907 0.4243
N3 N 0.7500 0.7907 0.0757
N4 N 0.7500 0.7093 0.5757
```

Compound: KZnN
Source: the Alexandria database
Functional: GGA-PBE
Structure: optimized geometry

Values from the calculation:
space-group type	P1 (1)
E_tot	-3.561	eV/atom
total moment	0.00	μB/atom
energy relative to the elements, uncorrected	0.004	eV per atom
volume	130.0	Å³/cell
DOS at the Fermi energy	3.8	states/eV/cell

```
data_KZnN
_space_group_name_H-M_alt 'P 1'
_space_group_IT_number 1
_cell_length_a 10.4757
_cell_length_b 3.3546
_cell_length_c 3.8655
_cell_angle_alpha 90.00
_cell_angle_beta 75.99
_cell_angle_gamma 80.77
loop_
_space_group_symop_operation_xyz
'x,y,z'
loop_
_atom_site_label
_atom_site_type_symbol
_atom_site_fract_x
_atom_site_fract_y
_atom_site_fract_z
K1 K 0.3124 0.0249 0.0246
K2 K 0.9303 0.2162 0.1084
Zn1 Zn 0.6549 0.8557 0.7918
Zn2 Zn 0.5877 0.3889 0.3354
N1 N 0.1623 0.5999 0.6513
N2 N 0.0804 0.6409 0.4822
```

Compound: K2Zn4N
Source: the Alexandria database
Functional: GGA-PBE
Structure: optimized geometry

Values from the calculation:
space-group type	I4/mmm (139)
E_tot	-1.872	eV/atom
total moment	0.00	μB/atom
energy relative to the elements, uncorrected	0.359	eV per atom
volume	177.3	Å³/cell
DOS at the Fermi energy	2.6	states/eV/cell

```
data_K2Zn4N
_space_group_name_H-M_alt 'P 1'
_space_group_IT_number 1
_cell_length_a 4.2920
_cell_length_b 4.2920
_cell_length_c 10.0898
_cell_angle_alpha 77.72
_cell_angle_beta 77.72
_cell_angle_gamma 90.00
loop_
_space_group_symop_operation_xyz
'x,y,z'
loop_
_atom_site_label
_atom_site_type_symbol
_atom_site_fract_x
_atom_site_fract_y
_atom_site_fract_z
Zn1 Zn 0.8897 0.8897 0.2207
Zn2 Zn 0.1103 0.1103 0.7793
Zn3 Zn 0.0000 0.5000 0.0000
Zn4 Zn 0.5000 0.0000 0.0000
K1 K 0.6809 0.6809 0.6382
K2 K 0.3191 0.3191 0.3618
N1 N 0.0000 0.0000 0.0000
```

Compound: KZnN
Source: the Alexandria database
Functional: GGA-PBE
Structure: optimized geometry

Values from the calculation:
space-group type	P-1 (2)
E_tot	-3.576	eV/atom
total moment	0.08	μB/atom
energy relative to the elements, uncorrected	-0.010	eV per atom
volume	153.0	Å³/cell
DOS at the Fermi energy	3.1	states/eV/cell

```
data_KZnN
_space_group_name_H-M_alt 'P 1'
_space_group_IT_number 1
_cell_length_a 9.5715
_cell_length_b 4.4474
_cell_length_c 4.2386
_cell_angle_alpha 117.90
_cell_angle_beta 102.93
_cell_angle_gamma 92.69
loop_
_space_group_symop_operation_xyz
'x,y,z'
loop_
_atom_site_label
_atom_site_type_symbol
_atom_site_fract_x
_atom_site_fract_y
_atom_site_fract_z
K1 K 0.3376 0.1733 0.1089
K2 K 0.9052 0.4019 0.5077
Zn1 Zn 0.6208 0.6104 0.9715
Zn2 Zn 0.6215 0.9653 0.6448
N1 N 0.1564 0.6776 0.2714
N2 N 0.0866 0.8979 0.3456
```

Compound: KZn2N
Source: the Alexandria database
Functional: GGA-PBE
Structure: optimized geometry

Values from the calculation:
space-group type	I-42d (122)
E_tot	-2.675	eV/atom
total moment	0.00	μB/atom
energy relative to the elements, uncorrected	0.318	eV per atom
volume	195.4	Å³/cell
DOS at the Fermi energy	6.2	states/eV/cell

```
data_KZn2N
_space_group_name_H-M_alt 'P 1'
_space_group_IT_number 1
_cell_length_a 6.5083
_cell_length_b 6.5083
_cell_length_c 6.5154
_cell_angle_alpha 60.04
_cell_angle_beta 60.04
_cell_angle_gamma 90.00
loop_
_space_group_symop_operation_xyz
'x,y,z'
loop_
_atom_site_label
_atom_site_type_symbol
_atom_site_fract_x
_atom_site_fract_y
_atom_site_fract_z
Zn1 Zn 0.3742 0.1250 0.2500
Zn2 Zn 0.3758 0.6250 0.2500
Zn3 Zn 0.3750 0.6258 0.7500
Zn4 Zn 0.8750 0.6242 0.7500
K1 K 0.0000 0.0000 0.0000
K2 K 0.7500 0.2500 0.5000
N1 N 0.5000 0.5000 0.0000
N2 N 0.2500 0.7500 0.5000
```

Compound: KZr2N
Source: the Alexandria database
Functional: GGA-PBE
Structure: optimized geometry

Values from the calculation:
space-group type	Fd-3m (227)
E_tot	-6.644	eV/atom
total moment	0.00	μB/atom
energy relative to the elements, uncorrected	-0.014	eV per atom
volume	233.5	Å³/cell
DOS at the Fermi energy	6.3	states/eV/cell

```
data_KZr2N
_space_group_name_H-M_alt 'P 1'
_space_group_IT_number 1
_cell_length_a 6.9110
_cell_length_b 6.9110
_cell_length_c 6.9117
_cell_angle_alpha 60.00
_cell_angle_beta 60.00
_cell_angle_gamma 90.00
loop_
_space_group_symop_operation_xyz
'x,y,z'
loop_
_atom_site_label
_atom_site_type_symbol
_atom_site_fract_x
_atom_site_fract_y
_atom_site_fract_z
K1 K 0.0000 0.0000 0.0000
K2 K 0.7500 0.2500 0.5000
Zr1 Zr 0.3752 0.1250 0.2500
Zr2 Zr 0.3748 0.6250 0.2500
Zr3 Zr 0.3750 0.6248 0.7500
Zr4 Zr 0.8750 0.6252 0.7500
N1 N 0.5000 0.5000 0.0000
N2 N 0.2500 0.7500 0.5000
```

Compound: KZrN2
Source: the Alexandria database
Functional: GGA-PBE
Structure: optimized geometry

Values from the calculation:
space-group type	I-42d (122)
excess energy over the best structure of this formula in the dataset	0	kJ/mol of formula units
E_tot	-7.098	eV/atom
total moment	0.25	μB/atom
energy relative to the elements, uncorrected	-0.523	eV per atom
volume	170.2	Å³/cell
DOS at the Fermi energy	4.4	states/eV/cell

```
data_KZrN2
_space_group_name_H-M_alt 'P 1'
_space_group_IT_number 1
_cell_length_a 6.0444
_cell_length_b 6.0444
_cell_length_c 6.3215
_cell_angle_alpha 61.44
_cell_angle_beta 61.44
_cell_angle_gamma 90.00
loop_
_space_group_symop_operation_xyz
'x,y,z'
loop_
_atom_site_label
_atom_site_type_symbol
_atom_site_fract_x
_atom_site_fract_y
_atom_site_fract_z
K1 K 0.5000 0.5000 0.0000
K2 K 0.2500 0.7500 0.5000
Zr1 Zr 0.0000 0.0000 0.0000
Zr2 Zr 0.7500 0.2500 0.5000
N1 N 0.7414 0.1250 0.2500
N2 N 0.0086 0.6250 0.2500
N3 N 0.3750 0.2586 0.7500
N4 N 0.8750 0.9914 0.7500
```

Compound: KZrN2
Source: the Alexandria database
Functional: GGA-PBE
Structure: optimized geometry

Values from the calculation:
space-group type	R-3m (166)
excess energy over the best structure of this formula in the dataset	554	kJ/mol of formula units
E_tot	-5.661	eV/atom
total moment	0.00	μB/atom
energy relative to the elements, uncorrected	0.913	eV per atom
volume	95.1	Å³/cell
DOS at the Fermi energy	3.6	states/eV/cell

```
data_KZrN2
_space_group_name_H-M_alt 'P 1'
_space_group_IT_number 1
_cell_length_a 7.3150
_cell_length_b 7.3150
_cell_length_c 7.3150
_cell_angle_alpha 31.55
_cell_angle_beta 31.55
_cell_angle_gamma 31.55
loop_
_space_group_symop_operation_xyz
'x,y,z'
loop_
_atom_site_label
_atom_site_type_symbol
_atom_site_fract_x
_atom_site_fract_y
_atom_site_fract_z
K1 K 0.5000 0.5000 0.5000
Zr1 Zr 0.0000 0.0000 0.0000
N1 N 0.9106 0.9106 0.9106
N2 N 0.0894 0.0894 0.0894
```

Compound: KZrN2
Source: the Alexandria database
Functional: GGA-PBE
Structure: optimized geometry

Values from the calculation:
space-group type	R-3m (166)
excess energy over the best structure of this formula in the dataset	48	kJ/mol of formula units
E_tot	-6.973	eV/atom
total moment	0.19	μB/atom
energy relative to the elements, uncorrected	-0.399	eV per atom
volume	71.8	Å³/cell
DOS at the Fermi energy	2.4	states/eV/cell

```
data_KZrN2
_space_group_name_H-M_alt 'P 1'
_space_group_IT_number 1
_cell_length_a 7.4064
_cell_length_b 7.4064
_cell_length_c 7.4064
_cell_angle_alpha 26.59
_cell_angle_beta 26.59
_cell_angle_gamma 26.59
loop_
_space_group_symop_operation_xyz
'x,y,z'
loop_
_atom_site_label
_atom_site_type_symbol
_atom_site_fract_x
_atom_site_fract_y
_atom_site_fract_z
K1 K 0.0000 0.0000 0.0000
Zr1 Zr 0.5000 0.5000 0.5000
N1 N 0.8828 0.8828 0.8828
N2 N 0.1172 0.1172 0.1172
```

Compound: KZrN
Source: the Alexandria database
Functional: GGA-PBE
Structure: optimized geometry

Values from the calculation:
space-group type	C2/m (12)
E_tot	-5.895	eV/atom
total moment	0.00	μB/atom
energy relative to the elements, uncorrected	0.095	eV per atom
volume	159.3	Å³/cell
DOS at the Fermi energy	4.9	states/eV/cell

```
data_KZrN
_space_group_name_H-M_alt 'P 1'
_space_group_IT_number 1
_cell_length_a 3.2947
_cell_length_b 13.8164
_cell_length_c 8.7013
_cell_angle_alpha 24.79
_cell_angle_beta 90.00
_cell_angle_gamma 96.85
loop_
_space_group_symop_operation_xyz
'x,y,z'
loop_
_atom_site_label
_atom_site_type_symbol
_atom_site_fract_x
_atom_site_fract_y
_atom_site_fract_z
N1 N 0.0549 0.1098 0.8597
N2 N 0.9451 0.8902 0.1403
K1 K 0.4444 0.8889 0.4139
K2 K 0.5556 0.1111 0.5861
Zr1 Zr 0.7685 0.5369 0.5933
Zr2 Zr 0.2315 0.4631 0.4067
```

Compound: K2ZrN
Source: the Alexandria database
Functional: GGA-PBE
Structure: optimized geometry

Values from the calculation:
space-group type	I-42d (122)
E_tot	-4.547	eV/atom
total moment	0.24	μB/atom
energy relative to the elements, uncorrected	0.221	eV per atom
volume	310.8	Å³/cell
DOS at the Fermi energy	5.2	states/eV/cell

```
data_K2ZrN
_space_group_name_H-M_alt 'P 1'
_space_group_IT_number 1
_cell_length_a 12.1534
_cell_length_b 12.1534
_cell_length_c 8.8476
_cell_angle_alpha 46.62
_cell_angle_beta 46.62
_cell_angle_gamma 90.00
loop_
_space_group_symop_operation_xyz
'x,y,z'
loop_
_atom_site_label
_atom_site_type_symbol
_atom_site_fract_x
_atom_site_fract_y
_atom_site_fract_z
K1 K 0.4475 0.1250 0.2500
K2 K 0.3025 0.6250 0.2500
K3 K 0.3750 0.5525 0.7500
K4 K 0.8750 0.6975 0.7500
Zr1 Zr 0.0000 0.0000 0.0000
Zr2 Zr 0.7500 0.2500 0.5000
N1 N 0.5000 0.5000 0.0000
N2 N 0.2500 0.7500 0.5000
```